A plane-wave DFT calculation with PBE was carried out for crystalline NaSrAl3 at its relaxed geometry.

Summary:
energy of formation from the pure elements: 1.07 eV per atom
total energy: -1.78 eV per atom
N(E_F): 6.1 states/eV/f.u.

Cell and atoms, written as CIF:
```
data_NaSrAl3
_space_group_name_H-M_alt 'P 1'
_space_group_IT_number 1
_cell_length_a 5.970
_cell_length_b 5.970
_cell_length_c 5.970
_cell_angle_alpha 90.00
_cell_angle_beta 90.00
_cell_angle_gamma 90.00
loop_
_space_group_symop_operation_xyz
'x,y,z'
loop_
_atom_site_label
_atom_site_fract_x
_atom_site_fract_y
_atom_site_fract_z
_atom_site_occupancy
Sr1 0.000 0.000 0.000 1
Al1 0.000 0.500 0.000 1
Al2 0.000 0.000 0.500 1
Al3 0.500 0.000 0.000 1
Na1 0.500 0.500 0.500 1
```

---

A plane-wave DFT calculation with PBE was carried out for crystalline Ac2Al2Cu at its relaxed geometry.

Summary:
energy of formation from the pure elements: -0.25 eV per atom
total energy: -4.21 eV per atom
N(E_F): 5.1 states/eV/f.u.

Cell and atoms, written as CIF:
```
data_Ac2Al2Cu
_space_group_name_H-M_alt 'P 1'
_space_group_IT_number 1
_cell_length_a 4.274
_cell_length_b 6.477
_cell_length_c 10.980
_cell_angle_alpha 81.90
_cell_angle_beta 78.78
_cell_angle_gamma 70.74
loop_
_space_group_symop_operation_xyz
'x,y,z'
loop_
_atom_site_label
_atom_site_fract_x
_atom_site_fract_y
_atom_site_fract_z
_atom_site_occupancy
Ac1 0.715 0.214 0.355 1
Ac2 0.890 0.328 0.892 1
Ac3 0.285 0.786 0.645 1
Ac4 0.110 0.672 0.108 1
Al1 0.037 0.340 0.587 1
Al2 0.606 0.899 0.888 1
Al3 0.963 0.660 0.413 1
Al4 0.394 0.101 0.112 1
Cu1 0.562 0.188 0.689 1
Cu2 0.438 0.812 0.311 1
```